# La2CuMo, relaxed, DFT GGA-PBEsol
data_La2CuMo
_cell_length_a 5.005
_cell_length_b 5.005
_cell_length_c 3.556
_cell_angle_alpha 90.00
_cell_angle_beta 90.00
_cell_angle_gamma 90.00
_symmetry_space_group_name_H-M 'P 4/m m m'
_symmetry_Int_Tables_number 123
_symmetry_space_group_name_Hall '-P 4 2'
loop_
_atom_site_label
_atom_site_fract_x
_atom_site_fract_y
_atom_site_fract_z
La1 0.000 0.500 0.000
Cu1 0.000 0.000 0.500
Mo1 0.500 0.500 0.500
# E_form = 0.343 eV/atom
# Electronic total energy = -0.46715 Ry per atom